No. 1
## Zn2AsRu (PBE)

Data for a relaxed Zn2AsRu crystal.

Cell and atoms, written as POSCAR:
```
Zn2AsRu
1.0
4.341 -1.546 0.000
4.341 1.546 0.000
-0.851 0.000 4.536
Zn As Ru
2 1 1
direct
0.000 0.000 0.000 Zn
0.246 0.246 0.789 Zn
0.771 0.771 0.330 As
0.496 0.496 0.504 Ru
```

formation energy from the elements: -0.015 eV per atom
DOS(E_F): 0.582 states/eV/atom

***

No. 2
## Zn2AsRu (PBE)

Data for a relaxed Zn2AsRu crystal.

Cell and atoms, written as POSCAR:
```
Zn2AsRu
1.0
1.519 -2.376 0.000
1.519 2.376 0.000
0.000 0.000 8.844
Zn As Ru
2 1 1
direct
0.000 0.000 0.231 Zn
0.000 0.000 0.769 Zn
0.500 0.500 0.500 As
0.500 0.500 0.000 Ru
```

formation energy from the elements: 0.225 eV per atom
DOS(E_F): 0.598 states/eV/atom

***

No. 3
## Zn2AsRu (PBE)

Data for a relaxed Zn2AsRu crystal.

Cell and atoms, written as POSCAR:
```
Zn2AsRu
1.0
2.808 0.000 0.000
0.000 2.808 0.000
0.000 0.000 8.200
Zn As Ru
2 1 1
direct
0.000 0.000 0.216 Zn
0.000 0.000 0.784 Zn
0.500 0.500 0.500 As
0.500 0.500 0.000 Ru
```

formation energy from the elements: 0.185 eV per atom
DOS(E_F): 0.907 states/eV/atom

***

No. 4
## Zn2AsRu (PBE)

Data for a relaxed Zn2AsRu crystal.

Cell and atoms, written as POSCAR:
```
Zn2AsRu
1.0
3.460 0.000 0.000
0.000 3.460 0.000
0.000 0.000 5.018
Zn As Ru
2 1 1
direct
0.000 0.000 0.243 Zn
0.000 0.000 0.757 Zn
0.500 0.500 0.500 As
0.500 0.500 0.000 Ru
```

formation energy from the elements: 0.022 eV per atom
DOS(E_F): 0.598 states/eV/atom

***

No. 5
## ZnAsRu4 (PBE)

Data for a relaxed ZnAsRu4 crystal.

Cell and atoms, written as POSCAR:
```
ZnAsRu4
1.0
0.000 3.633 3.633
3.633 0.000 3.633
3.633 3.633 0.000
Zn As Ru
1 1 4
direct
0.000 0.000 0.000 Zn
0.250 0.250 0.250 As
0.126 0.625 0.625 Ru
0.625 0.126 0.625 Ru
0.625 0.625 0.126 Ru
0.625 0.625 0.625 Ru
```

formation energy from the elements: 0.588 eV per atom
DOS(E_F): 1.196 states/eV/atom

***

No. 6
## Zn2AsRu (PBE)

Data for a relaxed Zn2AsRu crystal.

Cell and atoms, written as POSCAR:
```
Zn2AsRu
1.0
2.510 -4.363 0.000
2.510 4.363 0.000
-1.081 0.000 2.796
Zn As Ru
2 1 1
direct
0.000 0.500 0.000 Zn
0.500 0.000 0.000 Zn
0.000 0.000 0.500 As
0.500 0.500 0.500 Ru
```

formation energy from the elements: 0.172 eV per atom
DOS(E_F): 0.694 states/eV/atom

***

No. 7
## Zn2AsRu (PBE)

Data for a relaxed Zn2AsRu crystal.

Cell and atoms, written as POSCAR:
```
Zn2AsRu
1.0
-1.885 1.976 3.987
1.885 -1.976 3.987
1.885 1.976 -3.987
Zn As Ru
2 1 1
direct
0.000 0.000 0.000 Zn
0.747 0.247 0.500 Zn
0.255 0.755 0.500 As
0.491 0.491 0.000 Ru
```

formation energy from the elements: 0.034 eV per atom
DOS(E_F): 0.827 states/eV/atom

***

No. 8
## Zn2AsRu (PBE)

Data for a relaxed Zn2AsRu crystal.

Cell and atoms, written as POSCAR:
```
Zn2AsRu
1.0
3.753 0.000 0.000
0.000 3.753 0.000
0.000 0.000 4.206
Zn As Ru
2 1 1
direct
0.000 0.500 0.000 Zn
0.500 0.000 0.000 Zn
0.000 0.000 0.500 As
0.500 0.500 0.500 Ru
```

formation energy from the elements: 0.118 eV per atom
DOS(E_F): 0.538 states/eV/atom

***

No. 9
## Zn2AsRu (PBE)

Data for a relaxed Zn2AsRu crystal.

Cell and atoms, written as POSCAR:
```
Zn2AsRu
1.0
2.492 -3.907 0.000
2.492 3.907 0.000
0.000 0.000 3.104
Zn As Ru
2 1 1
direct
0.000 0.500 0.000 Zn
0.500 0.000 0.000 Zn
0.000 0.000 0.500 As
0.500 0.500 0.500 Ru
```

formation energy from the elements: 0.064 eV per atom
DOS(E_F): 0.516 states/eV/atom

***

No. 10
## ZrAs4Ru (PBE)

Data for a relaxed ZrAs4Ru crystal.

Cell and atoms, written as POSCAR:
```
ZrAs4Ru
1.0
0.000 3.813 3.813
3.813 0.000 3.813
3.813 3.813 0.000
Zr As Ru
1 4 1
direct
0.000 0.000 0.000 Zr
0.126 0.625 0.625 As
0.625 0.126 0.625 As
0.625 0.625 0.126 As
0.625 0.625 0.625 As
0.250 0.250 0.250 Ru
```

formation energy from the elements: 0.415 eV per atom
DOS(E_F): 0.855 states/eV/atom

***

No. 11
## Zr2AsRu2 (PBE)

Data for a relaxed Zr2AsRu2 crystal.

Cell and atoms, written as POSCAR:
```
Zr2AsRu2
1.0
7.452 0.000 0.000
0.000 7.452 0.000
0.000 0.000 3.269
Zr As Ru
4 2 4
direct
0.165 0.335 0.000 Zr
0.335 0.835 0.000 Zr
0.665 0.165 0.000 Zr
0.835 0.665 0.000 Zr
0.000 0.000 0.500 As
0.500 0.500 0.500 As
0.135 0.635 0.500 Ru
0.365 0.135 0.500 Ru
0.635 0.865 0.500 Ru
0.865 0.365 0.500 Ru
```

formation energy from the elements: -0.312 eV per atom
DOS(E_F): 0.566 states/eV/atom
energy relative to the lowest polymorph listed for this composition: 0.0000 eV/atom

***

No. 12
## Zr2AsRu2 (PBE)

Data for a relaxed Zr2AsRu2 crystal.

Cell and atoms, written as POSCAR:
```
Zr2AsRu2
1.0
-1.748 1.748 7.772
1.748 -1.748 7.772
1.748 1.748 -7.772
Zr As Ru
2 1 2
direct
0.102 0.102 0.000 Zr
0.898 0.898 0.000 Zr
0.500 0.500 0.000 As
0.250 0.750 0.500 Ru
0.750 0.250 0.500 Ru
```

formation energy from the elements: -0.210 eV per atom
DOS(E_F): 1.401 states/eV/atom
energy relative to the lowest polymorph listed for this composition: 0.1021 eV/atom

***

No. 13
## Zr3AsRu (PBE)

Data for a relaxed Zr3AsRu crystal.

Cell and atoms, written as POSCAR:
```
Zr3AsRu
1.0
4.920 0.000 0.000
0.000 4.920 0.000
0.000 0.000 4.920
Zr As Ru
3 1 1
direct
0.000 0.000 0.500 Zr
0.000 0.500 0.000 Zr
0.500 0.000 0.000 Zr
0.000 0.000 0.000 As
0.500 0.500 0.500 Ru
```

formation energy from the elements: 0.404 eV per atom
DOS(E_F): 1.359 states/eV/atom
energy relative to the lowest polymorph listed for this composition: 0.2102 eV/atom

***

No. 14
## ZrAs2Ru2 (PBE)

Data for a relaxed ZrAs2Ru2 crystal.

Cell and atoms, written as POSCAR:
```
ZrAs2Ru2
1.0
7.358 0.000 0.000
0.000 7.358 0.000
0.000 0.000 2.967
Zr As Ru
2 4 4
direct
0.000 0.000 0.000 Zr
0.500 0.500 0.000 Zr
0.153 0.347 0.000 As
0.347 0.847 0.000 As
0.653 0.153 0.000 As
0.847 0.653 0.000 As
0.142 0.642 0.500 Ru
0.358 0.142 0.500 Ru
0.642 0.858 0.500 Ru
0.858 0.358 0.500 Ru
```

formation energy from the elements: -0.272 eV per atom
DOS(E_F): 1.226 states/eV/atom

***

No. 15
## Zr2AsRu2 (PBE)

Data for a relaxed Zr2AsRu2 crystal.

Cell and atoms, written as POSCAR:
```
Zr2AsRu2
1.0
7.657 0.000 0.000
0.000 7.657 0.000
0.000 0.000 3.198
Zr As Ru
4 2 4
direct
0.159 0.341 0.000 Zr
0.341 0.841 0.000 Zr
0.659 0.159 0.000 Zr
0.841 0.659 0.000 Zr
0.000 0.000 0.000 As
0.500 0.500 0.000 As
0.135 0.635 0.500 Ru
0.365 0.135 0.500 Ru
0.635 0.865 0.500 Ru
0.865 0.365 0.500 Ru
```

formation energy from the elements: -0.094 eV per atom
DOS(E_F): 0.911 states/eV/atom
energy relative to the lowest polymorph listed for this composition: 0.2180 eV/atom

***

No. 16
## Zr3AsRu (PBE)

Data for a relaxed Zr3AsRu crystal.

Cell and atoms, written as POSCAR:
```
Zr3AsRu
1.0
4.982 0.000 0.000
0.000 4.982 0.000
0.000 0.000 4.982
Zr As Ru
3 1 1
direct
0.000 0.000 0.500 Zr
0.000 0.500 0.000 Zr
0.500 0.000 0.000 Zr
0.500 0.500 0.500 As
0.000 0.000 0.000 Ru
```

formation energy from the elements: 0.193 eV per atom
DOS(E_F): 1.071 states/eV/atom
energy relative to the lowest polymorph listed for this composition: 0.0000 eV/atom

***

No. 17
## AsS (PBE)

Data for a relaxed AsS crystal.

Cell and atoms, written as POSCAR:
```
AsS
1.0
0.000 2.679 2.679
2.679 0.000 2.679
2.679 2.679 0.000
As S
1 1
direct
0.000 0.000 0.000 As
0.500 0.500 0.500 S
```

formation energy from raw total energies: 45 kJ/mol of formula units
DOS(E_F): 0.542 states/eV/atom
energy relative to the lowest polymorph listed for this composition: 0.3753 eV/atom

***

No. 18
## AsS (PBE)

Data for a relaxed AsS crystal.

Cell and atoms, written as POSCAR:
```
AsS
1.0
3.373 0.000 0.000
0.000 18.041 0.000
0.000 0.000 5.679
As S
6 6
direct
0.250 0.105 0.008 As
0.250 0.395 0.008 As
0.250 0.750 0.788 As
0.750 0.250 0.212 As
0.750 0.605 0.992 As
0.750 0.895 0.992 As
0.250 0.250 0.929 S
0.250 0.567 0.238 S
0.250 0.933 0.238 S
0.750 0.067 0.762 S
0.750 0.433 0.762 S
0.750 0.750 0.071 S
```

formation energy from raw total energies: 27 kJ/mol of formula units
DOS(E_F): 0.274 states/eV/atom
energy relative to the lowest polymorph listed for this composition: 0.2799 eV/atom

***

No. 19
## AsS (PBE)

Data for a relaxed AsS crystal.

Cell and atoms, written as POSCAR:
```
AsS
1.0
8.701 0.000 0.000
0.000 8.701 0.000
0.000 0.000 5.628
As S
4 4
direct
0.130 0.130 0.000 As
0.370 0.630 0.500 As
0.630 0.370 0.500 As
0.870 0.870 0.000 As
0.127 0.873 0.000 S
0.373 0.373 0.500 S
0.627 0.627 0.500 S
0.873 0.127 0.000 S
```

formation energy from raw total energies: 37 kJ/mol of formula units
energy relative to the lowest polymorph listed for this composition: 0.3320 eV/atom

***

No. 20
## AsS (PBE)

Data for a relaxed AsS crystal.

Cell and atoms, written as POSCAR:
```
AsS
1.0
7.597 0.000 0.000
-3.798 6.579 0.000
0.000 0.000 7.126
As S
6 6
direct
0.098 0.771 0.250 As
0.229 0.328 0.250 As
0.328 0.098 0.750 As
0.672 0.902 0.250 As
0.771 0.672 0.750 As
0.902 0.229 0.750 As
0.014 0.448 0.250 S
0.434 0.986 0.250 S
0.448 0.434 0.750 S
0.552 0.566 0.250 S
0.566 0.014 0.750 S
0.986 0.552 0.750 S
```

formation energy from raw total energies: 44 kJ/mol of formula units
DOS(E_F): 0.507 states/eV/atom
energy relative to the lowest polymorph listed for this composition: 0.3668 eV/atom

***

| no. | mass density (Mg/m³) |
| --- | --- |
| 1 | 8.37 |
| 2 | 7.98 |
| 3 | 7.88 |
| 4 | 8.48 |
| 5 | 9.43 |
| 6 | 8.32 |
| 7 | 8.58 |
| 8 | 8.60 |
| 9 | 8.43 |
| 10 | 7.37 |
| 11 | 8.41 |
| 12 | 8.03 |
| 13 | 6.27 |
| 14 | 9.16 |
| 15 | 8.14 |
| 16 | 6.04 |
| 17 | 4.62 |
| 18 | 3.08 |
| 19 | 1.67 |
| 20 | 2.99 |